## P
A plane-wave DFT calculation with PBE was carried out for a geometry-optimized La2Pm4Pr3 structure. Values from VASP.

The structure in Quantum ESPRESSO input format:
```
&SYSTEM
  ibrav = 0, nat = 9, ntyp = 3
/
ATOMIC_SPECIES
Pm 145.00 Pm.upf
Pr 140.91 Pr.upf
La 138.91 La.upf
ATOMIC_POSITIONS angstrom
Pm 1.842 1.063 12.034
Pm 0.000 0.000 14.949
Pm 0.000 0.000 20.991
Pm 1.842 1.063 6.024
Pr 0.000 0.000 8.931
Pr 0.000 0.000 27.182
Pr 1.842 1.063 17.997
La 1.842 1.063 2.577
La 1.842 1.063 24.018
CELL_PARAMETERS angstrom
3.684 0.000 0.000
-1.842 3.190 0.000
0.000 0.000 27.619
```

---

## Q
A plane-wave DFT calculation with PBE was carried out for a geometry-optimized La2Pm4Pr3 structure. Values from VASP.

The structure in Quantum ESPRESSO input format:
```
&SYSTEM
  ibrav = 0, nat = 9, ntyp = 3
/
ATOMIC_SPECIES
Pr 140.91 Pr.upf
Pm 145.00 Pm.upf
La 138.91 La.upf
ATOMIC_POSITIONS angstrom
Pr 0.000 0.000 0.000
Pr -8.987 -1.864 0.143
Pr -0.618 -0.112 3.436
Pm -5.847 -2.396 2.551
Pm 0.911 -3.207 1.657
Pm -10.516 1.232 1.921
Pm -3.758 0.421 1.028
La -2.446 -2.779 1.654
La -7.159 0.804 1.925
CELL_PARAMETERS angstrom
-0.748 -5.885 -0.326
4.510 2.186 4.321
-13.366 1.724 -0.416
```

---

Relative stability in meV/atom, measured from the most stable structure: P 0; Q 23